No. 1
The following is a GGA-PBE calculation of a relaxed Pm3Er2Cd6 crystal, from the Alexandria database.

```
Pm3Er2Cd6
1.0
-2.1204 2.1204 17.9680
2.1204 -2.1204 17.9680
2.1204 2.1204 -17.9680
Pm Er Cd
3 2 6
direct
0.0000 0.0000 0.0000
0.1836 0.1836 0.0000
0.8164 0.8164 0.0000
0.3657 0.3657 0.0000
0.6343 0.6343 0.0000
0.0694 0.5694 0.5000
0.2749 0.2749 0.0000
0.4306 0.9306 0.5000
0.5694 0.0694 0.5000
0.7251 0.7251 0.0000
0.9306 0.4306 0.5000
```

Calculated values
Its energy of formation is 0.005 eV/atom. As for the crystal system: tetragonal. The value obtained for the density of states at the Fermi level is 10.83 states/eV/f.u. For the volume, the calculation gives 29.4 A^3/atom. The value obtained for the final energy is -0.1925 Ry/atom.

---

No. 2
The following is a GGA-PBE calculation of a relaxed MgAgRh2 crystal, from the Alexandria database.

```
MgAgRh2
1.0
4.6342 -1.4236 0.0000
4.6342 1.4236 0.0000
-0.9718 0.0000 4.7108
Mg Ag Rh
1 1 2
direct
0.0000 0.0000 0.0000
0.5000 0.5000 0.5000
0.2557 0.2557 0.7608
0.7443 0.7443 0.2392
```

Calculated values
Its energy of formation is -0.109 eV/atom. As for the crystal system: monoclinic. The value obtained for the density of states at the Fermi level is 3.71 states/eV/f.u. For the volume, the calculation gives 15.5 A^3/atom. The value obtained for the final energy is -0.3599 Ry/atom.

---

No. 3
The following is a GGA-PBE calculation of a relaxed Pm2Nd5YTm crystal, from the Alexandria database.

```
Pm2Nd5YTm
1.0
-4.3128 4.3128 8.4061
4.3128 -4.3128 8.4061
4.3128 4.3128 -8.4061
Pm Nd Y Tm
4 10 2 2
direct
0.1215 0.6215 0.7430
0.3785 0.1215 0.5000
0.6215 0.8785 0.5000
0.8785 0.3785 0.2570
0.0000 0.0000 0.0000
0.0749 0.1398 0.5000
0.1398 0.6398 0.0649
0.3602 0.4251 0.5000
0.4251 0.9251 0.0649
0.5000 0.5000 0.0000
0.5749 0.0749 0.9351
0.6398 0.5749 0.5000
0.8602 0.3602 0.9351
0.9251 0.8602 0.5000
0.2500 0.2500 0.0000
0.7500 0.7500 0.0000
0.2500 0.7500 0.5000
0.7500 0.2500 0.5000
```

Calculated values
Its energy of formation is 0.278 eV/atom. As for the crystal system: tetragonal. The value obtained for the density of states at the Fermi level is 13.74 states/eV/f.u. For the volume, the calculation gives 34.7 A^3/atom. The value obtained for the final energy is -0.3411 Ry/atom.

---

No. 4
The following is a GGA-PBE calculation of a relaxed HgIN2 crystal, from the Alexandria database.

```
HgIN2
1.0
0.0000 3.1028 3.1028
3.1028 0.0000 3.1028
3.1028 3.1028 0.0000
Hg I N
1 1 2
direct
0.0000 0.0000 0.0000
0.5000 0.5000 0.5000
0.2500 0.2500 0.2500
0.7500 0.7500 0.7500
```

Calculated values
As for the crystal system: cubic. The value obtained for the density of states at the Fermi level is 2.83 states/eV/f.u. As for the uncorrected formation energy: 2.301 eV/atom. For the volume, the calculation gives 14.9 A^3/atom. The value obtained for the final energy is -0.1708 Ry/atom.

---

No. 5
The following is a GGA-PBE calculation of a relaxed CuSn2Pt2 crystal, from the Alexandria database.

```
CuSn2Pt2
1.0
7.3626 0.0000 0.0000
0.0000 7.3626 0.0000
0.0000 0.0000 3.5285
Cu Sn Pt
2 4 4
direct
0.0000 0.0000 0.0000
0.5000 0.5000 0.0000
0.1632 0.3368 0.0000
0.3368 0.8368 0.0000
0.6632 0.1632 0.0000
0.8368 0.6632 0.0000
0.1367 0.6367 0.5000
0.3633 0.1367 0.5000
0.6367 0.8633 0.5000
0.8633 0.3633 0.5000
```

Calculated values
Its energy of formation is -0.069 eV/atom. As for the crystal system: tetragonal. The value obtained for the density of states at the Fermi level is 3.44 states/eV/f.u. For the volume, the calculation gives 19.1 A^3/atom. The value obtained for the final energy is -0.3606 Ry/atom.

---

No. 6
The following is a GGA-PBE calculation of a relaxed TbPm6Nd2Er crystal, from the Alexandria database.

```
TbPm6Nd2Er
1.0
4.5983 -7.6783 0.0000
4.5983 7.6783 0.0000
-1.4282 0.0000 9.7032
Tb Pm Nd Er
2 12 4 2
direct
0.0203 0.9797 0.7500
0.9797 0.0203 0.2500
0.0162 0.5733 0.6893
0.1233 0.7524 0.0554
0.2476 0.8767 0.4446
0.2916 0.5022 0.8808
0.4267 0.9838 0.8107
0.4978 0.7084 0.6192
0.5022 0.2916 0.3808
0.5733 0.0162 0.1893
0.7084 0.4978 0.1192
0.7524 0.1233 0.5554
0.8767 0.2476 0.9446
0.9838 0.4267 0.3107
0.1963 0.2981 0.5425
0.2981 0.1963 0.0425
0.7019 0.8037 0.9575
0.8037 0.7019 0.4575
0.4085 0.5915 0.2500
0.5915 0.4085 0.7500
```

Calculated values
Its energy of formation is 0.114 eV/atom. As for the crystal system: monoclinic. The value obtained for the density of states at the Fermi level is 14.32 states/eV/f.u. For the volume, the calculation gives 34.3 A^3/atom. The value obtained for the final energy is -0.3387 Ry/atom.